Entry 1:
An optimized crystal structure of As3Au. Source: the Alexandria database, functional PBE-GGA.

Computed properties:
Space-group type: P4/mmm
Energy of formation, meV per atom: 393
Spin magnetization, μB per atom: 0.00
Excess energy over the best structure of this formula in the dataset, eV/f.u.: 1.37

a = 3.2961 Å, b = 3.2961 Å, c = 6.9999 Å
α = 90.00°, β = 90.00°, γ = 90.00°
Closest atoms and distances in Å follow each position.
Fractional coordinates of all 4 atoms:
As1 0.0000 0.0000 0.0075  4 As 2.88, 4 Au 2.95
As2 0.5000 0.5000 0.2500  8 As 2.88
As3 0.0000 0.0000 0.4925  4 As 2.88, 4 Au 2.95
Au1 0.5000 0.5000 0.7500  8 As 2.95, 4 Au 3.30



Entry 2:
An optimized crystal structure of As3Au. Source: the Alexandria database, functional PBE-GGA.

Computed properties:
Space-group type: P4/mmm
Energy of formation, meV per atom: 343
Spin magnetization, μB per atom: 0.00
Excess energy over the best structure of this formula in the dataset, eV/f.u.: 1.17

a = 5.1053 Å, b = 5.1053 Å, c = 2.9190 Å
α = 90.00°, β = 90.00°, γ = 90.01°
Closest atoms and distances in Å follow each position.
Fractional coordinates of all 4 atoms:
As1 0.0000 0.5000 0.5000  6 As 2.92-2.94, 4 Au 2.94
As2 0.5000 0.0000 0.5000  6 As 2.92-2.94, 4 Au 2.94
As3 0.5000 0.5000 0.0000  10 As 2.92-2.94
Au1 0.0000 0.0000 0.0000  2 Au 2.92, 8 As 2.94



Entry 3:
An optimized crystal structure of As5Au. Source: the Alexandria database, functional PBE-GGA.

Computed properties:
Space-group type: Fmm2
Energy of formation, meV per atom: 247
Spin magnetization, μB per atom: 0.00
Excess energy over the best structure of this formula in the dataset, eV/f.u.: 0.00

a = 9.9776 Å, b = 8.2459 Å, c = 5.9424 Å
α = 87.80°, β = 55.67°, γ = 36.52°
Closest atoms and distances in Å follow each position.
Fractional coordinates of all 6 atoms:
As1 0.9975 0.0025 0.9975  6 As 2.74-3.02, 1 Au 3.02
As2 0.3027 0.3699 0.6301  3 As 2.52-2.74
As3 0.6301 0.6973 0.3027  3 As 2.52-2.74
As4 0.1011 0.6025 0.3975  3 As 2.52-2.74, 2 Au 2.78
As5 0.3975 0.8989 0.1011  3 As 2.52-2.74, 2 Au 2.78
Au1 0.7361 0.2639 0.7361  2 Au 2.74, 5 As 2.78-3.02



Entry 4:
An optimized crystal structure of AsAu. Source: the Alexandria database, functional PBE-GGA.

Computed properties:
Space-group type: P4_2/mnm
Energy of formation, meV per atom: 232
Spin magnetization, μB per atom: 0.00

a = 7.1407 Å, b = 7.1407 Å, c = 4.0740 Å
α = 90.00°, β = 90.00°, γ = 90.00°
Closest atoms and distances in Å follow each position.
Fractional coordinates of all 8 atoms:
As1 0.2941 0.7059 0.0000  4 Au 2.52-2.56
As2 0.7941 0.7941 0.5000  4 Au 2.52-2.56
As3 0.2059 0.2059 0.5000  4 Au 2.52-2.56
As4 0.7059 0.2941 0.0000  4 Au 2.52-2.56
Au1 0.3528 0.3528 0.0000  4 As 2.52-2.56
Au2 0.8528 0.1472 0.5000  4 As 2.52-2.56
Au3 0.1472 0.8528 0.5000  4 As 2.52-2.56
Au4 0.6472 0.6472 0.0000  4 As 2.52-2.56



Entry 5:
An optimized crystal structure of AsAu2. Source: the Alexandria database, functional PBE-GGA.

Computed properties:
Space-group type: Cmcm
Energy of formation, meV per atom: 178
Spin magnetization, μB per atom: 0.00

a = 6.8488 Å, b = 6.8488 Å, c = 4.3380 Å
α = 90.00°, β = 90.00°, γ = 146.96°
Closest atoms and distances in Å follow each position.
Fractional coordinates of all 6 atoms:
As1 0.0908 0.9092 0.2500  10 Au 2.89-2.98, 2 As 3.22
As2 0.9092 0.0908 0.7500  10 Au 2.89-2.98, 2 As 3.22
Au1 0.4226 0.5774 0.2500  6 As 2.92-2.94, 6 Au 2.95-3.17
Au2 0.5774 0.4226 0.7500  6 As 2.92-2.94, 6 Au 2.95-3.17
Au3 0.7538 0.2462 0.2500  4 As 2.89-2.98, 8 Au 2.92-3.17
Au4 0.2462 0.7538 0.7500  4 As 2.89-2.98, 8 Au 2.92-3.17



Entry 6:
An optimized crystal structure of As8Au. Source: the Alexandria database, functional PBE-GGA.

Computed properties:
Space-group type: I4/mmm
Energy of formation, meV per atom: 363
Spin magnetization, μB per atom: 0.00

a = 7.4754 Å, b = 7.4754 Å, c = 7.4754 Å
α = 94.37°, β = 94.37°, γ = 147.96°
Closest atoms and distances in Å follow each position.
Fractional coordinates of all 9 atoms:
As1 0.3733 0.6267 0.0000  2 As 2.58, 2 Au 2.75
As2 0.6267 0.3733 0.0000  2 As 2.58, 2 Au 2.75
As3 0.0000 0.3737 0.3737  5 As 2.57-2.75
As4 0.6267 0.6267 0.2535  2 As 2.58, 2 Au 2.75
As5 0.3737 0.0000 0.3737  5 As 2.57-2.75
As6 0.3733 0.3733 0.7465  2 As 2.58, 2 Au 2.75
As7 0.0000 0.6263 0.6263  5 As 2.57-2.75
As8 0.6263 0.0000 0.6263  5 As 2.57-2.75
Au1 0.0000 0.0000 0.0000  8 As 2.75



Entry 7:
An optimized crystal structure of As5Au. Source: the Alexandria database, functional PBE-GGA.

Computed properties:
Space-group type: P6/mmm
Energy of formation, meV per atom: 517
Spin magnetization, μB per atom: 0.00
Excess energy over the best structure of this formula in the dataset, eV/f.u.: 1.62

a = 5.4254 Å, b = 5.4254 Å, c = 4.9332 Å
α = 90.00°, β = 90.00°, γ = 120.00°
Closest atoms and distances in Å follow each position.
Fractional coordinates of all 6 atoms:
As1 0.3333 0.6667 0.0000  9 As 2.92-3.13, 3 Au 3.13
As2 0.6667 0.3333 0.0000  9 As 2.92-3.13, 3 Au 3.13
As3 0.5000 0.0000 0.5000  8 As 2.71-2.92
As4 0.0000 0.5000 0.5000  8 As 2.71-2.92
As5 0.5000 0.5000 0.5000  8 As 2.71-2.92
Au1 0.0000 0.0000 0.0000  6 As 3.13



Entry 8:
An optimized crystal structure of AsAu. Source: the Alexandria database, functional PBE-GGA.

Computed properties:
Space-group type: Pmma
Energy of formation, meV per atom: 121
Spin magnetization, μB per atom: 0.00

a = 5.0317 Å, b = 2.8325 Å, c = 6.2395 Å
α = 63.00°, β = 90.00°, γ = 90.00°
Closest atoms and distances in Å follow each position.
Fractional coordinates of all 4 atoms:
As1 0.0000 0.7063 0.0437  4 Au 2.69-2.82, 2 As 2.83
As2 0.5000 0.0437 0.7063  4 Au 2.69-2.82, 2 As 2.83
Au1 0.0000 0.2137 0.5358  4 As 2.69-2.82, 2 Au 2.83
Au2 0.5000 0.5363 0.2142  4 As 2.69-2.82, 2 Au 2.83